Material: Pr12NdHo3
Method: DFT, PBE
State: relaxed

The density of states at the Fermi level comes out at 1.55 states/eV per atom. The value obtained for the density is 6.89 g/cm3. For the calculated formation energy, the calculation gives 0.013 eV/atom.

The structure belongs to space group P4/mmm (No. 123); the cell edges are 5.201, 5.201 and 20.751 Å and the angles 90.00°, 90.00° and 90.00°. Symmetry generates all atoms from Pr at (0.000, 0.000, 0.000), Pr at (0.000, 0.000, 0.248), Pr at (0.000, 0.000, 0.500), Pr at (0.000, 0.500, 0.124), Pr at (0.000, 0.500, 0.373), Nd at (0.500, 0.500, 0.500), Ho at (0.500, 0.500, 0.000) and Ho at (0.500, 0.500, 0.248).



Material: SiTc2HIr
Method: DFT, PBE
State: relaxed

The energy comes out at -6.056 eV per atom. The density of states at the Fermi level comes out at 1.65 states/eV per atom. The value obtained for the density is 8.09 g/cm3.

The structure belongs to space group P4/mmm (No. 123); the cell edges are 4.420, 4.420 and 4.385 Å and the angles 90.00°, 90.00° and 90.00°. Symmetry generates all atoms from Si at (0.000, 0.000, 0.000), Tc at (0.000, 0.500, 0.000), H at (0.500, 0.500, 0.500) and Ir at (0.000, 0.000, 0.500).



Material: Ti2Hg2Sb
Method: DFT, PBE
State: relaxed

The formation energy (no corrections) comes out at -45 meV/atom. The density of states at the Fermi level comes out at 0.79 states/eV per atom. The value obtained for the density is 9.59 g/cm3.

The structure belongs to space group P4/mbm (No. 127); the cell edges are 7.020, 7.020 and 4.346 Å and the angles 90.00°, 90.00° and 90.00°. Symmetry generates all atoms from Ti at (0.143, 0.357, 0.000), Hg at (0.154, 0.654, 0.500) and Sb at (0.000, 0.000, 0.000).



Material: Co2TcP
Method: DFT, PBE
State: relaxed

The density of states at the Fermi level comes out at 1.14 states/eV per atom. The value obtained for the density is 8.90 g/cm3. For the calculated formation energy, the calculation gives -0.191 eV/atom.

The structure belongs to space group Immm (No. 71); the cell edges are 2.839, 4.025 and 8.065 Å and the angles 90.00°, 90.00° and 90.00°. Symmetry generates all atoms from Co at (0.000, 0.000, 0.220), Tc at (0.000, 0.500, 0.000) and P at (0.000, 0.500, 0.500).